(1)
This record from Alexandria via LeMat-Bulk describes a relaxed HfMnCr2 crystal. The functional is PBE-GGA.

The formation energy is 878 meV per atom. The density of states at the Fermi level comes out at 15.43 states/eV/cell. Its total energy is -139.43 eV per cell. Its volume is 17.09 Å³ per atom. The magnetization comes out at 0.56 Bohr magnetons per cell.

The structure belongs to space group I4_1/amd (No. 141, origin choice 2); the cell edges are 4.207, 4.207 and 15.456 Å and the angles 90.00°, 90.00° and 90.00°. The asymmetric unit holds Hf at (0.000, 0.250, 0.375), Mn at (0.000, 0.250, 0.875) and Cr at (0.000, 0.000, 0.000).

(2)
This record from Alexandria via LeMat-Bulk describes a relaxed CdAgHg2 crystal. The functional is PBE-GGA.

The formation energy is 35 meV per atom. The density of states at the Fermi level comes out at 2.01 states/eV/cell. Its total energy is -8.46 eV per cell. Its volume is 23.28 Å³ per atom. The magnetization comes out at 0.00 Bohr magnetons per cell.

The structure belongs to space group Imm2 (No. 44); the cell edges are 2.986, 5.104 and 12.219 Å and the angles 90.00°, 90.00° and 90.00°. The asymmetric unit holds Cd at (0.000, 0.000, 0.000), Ag at (0.000, 0.500, 0.293), Hg at (0.000, 0.000, 0.574) and Hg at (0.000, 0.500, 0.779).

(3)
This record from Alexandria via LeMat-Bulk describes a relaxed HfSn2Au crystal. The functional is PBE-GGA.

The formation energy is 2 meV per atom. The density of states at the Fermi level comes out at 16.85 states/eV/cell. Its total energy is -84.91 eV per cell. Its volume is 23.74 Å³ per atom. The magnetization comes out at 0.00 Bohr magnetons per cell.

The structure belongs to space group I-42d (No. 122); the cell edges are 4.326, 4.326 and 20.303 Å and the angles 90.00°, 90.00° and 90.00°. The asymmetric unit holds Hf at (0.000, 0.000, 0.000), Sn at (0.246, 0.250, 0.625) and Au at (0.000, 0.000, 0.500).

(4)
This record from Alexandria via LeMat-Bulk describes a relaxed CuNi4Pd crystal. The functional is PBE-GGA.

The formation energy is 99 meV per atom. The density of states at the Fermi level comes out at 23.80 states/eV/cell. Its total energy is -127.29 eV per cell. Its volume is 12.06 Å³ per atom. The magnetization comes out at 0.00 Bohr magnetons per cell.

The structure belongs to space group F-43m (No. 216); the cell edges are 6.615, 6.615 and 6.615 Å and the angles 90.00°, 90.00° and 90.00°. The asymmetric unit holds Cu at (0.000, 0.000, 0.000), Ni at (0.125, 0.125, 0.375) and Pd at (0.250, 0.250, 0.750).

(5)
This record from Alexandria via LeMat-Bulk describes a relaxed Si2HgTe2 crystal. The functional is PBE-GGA.

The value obtained for the formation energy from raw total energies is 0.2540 eV per atom. The density of states at the Fermi level comes out at 4.50 states/eV/cell. Its total energy is -32.32 eV per cell. Its volume is 25.23 Å³ per atom. The magnetization comes out at 0.00 Bohr magnetons per cell.

The structure belongs to space group I4/mmm (No. 139); the cell edges are 5.322, 5.322 and 8.907 Å and the angles 90.00°, 90.00° and 90.00°. The asymmetric unit holds Si at (0.000, 0.000, 0.142), Hg at (0.000, 0.000, 0.500) and Te at (0.000, 0.500, 0.250).

(6)
This record from Alexandria via LeMat-Bulk describes a relaxed LaYCd2 crystal. The functional is PBE-GGA.

The formation energy is -275 meV per atom. The density of states at the Fermi level comes out at 8.55 states/eV/cell. Its total energy is -28.65 eV per cell. Its volume is 28.71 Å³ per atom. The magnetization comes out at 0.30 Bohr magnetons per cell.

The structure belongs to space group Amm2 (No. 38); the cell edges are 4.976, 3.669 and 12.580 Å and the angles 90.00°, 90.00° and 90.00°. The asymmetric unit holds La at (0.000, 0.000, 0.000), Y at (0.500, 0.000, 0.683), Cd at (0.000, 0.000, 0.265) and Cd at (0.500, 0.000, 0.405).

(7)
This record from Alexandria via LeMat-Bulk describes a relaxed AlPdIO2 crystal. The functional is PBE-GGA.

The value obtained for the formation energy from raw total energies is 0.2422 eV per atom. The density of states at the Fermi level comes out at 7.07 states/eV/cell. Its total energy is -19.19 eV per cell. Its volume is 18.13 Å³ per atom. The magnetization comes out at 0.00 Bohr magnetons per cell.

The structure belongs to space group P4/mmm (No. 123); the cell edges are 4.095, 4.095 and 5.404 Å and the angles 90.00°, 90.00° and 90.00°. The asymmetric unit holds Al at (0.000, 0.000, 0.000), Pd at (0.500, 0.500, 0.500), I at (0.500, 0.500, 0.000) and O at (0.000, 0.500, 0.500).

(8)
This record from Alexandria via LeMat-Bulk describes a relaxed AcPr2Tm7 crystal. The functional is PBE-GGA.

The formation energy is 38 meV per atom. The density of states at the Fermi level comes out at 12.26 states/eV/cell. Its total energy is -44.59 eV per cell. Its volume is 32.35 Å³ per atom. The magnetization comes out at 0.00 Bohr magnetons per cell.

The structure belongs to space group P-1 (No. 2); the cell edges are 6.185, 7.150 and 7.996 Å and the angles 102.49°, 97.46° and 106.73°. The asymmetric unit holds Ac at (0.000, 0.000, 0.000), Pr at (0.201, 0.402, 0.401), Tm at (0.000, 0.500, 0.000), Tm at (0.203, 0.901, 0.403), Tm at (0.400, 0.799, 0.799) and Tm at (0.404, 0.303, 0.800).

(9)
This record from Alexandria via LeMat-Bulk describes a relaxed CaAl2Sn crystal. The functional is PBE-GGA.

The formation energy is -15 meV per atom. The density of states at the Fermi level comes out at 5.98 states/eV/cell. Its total energy is -54.20 eV per cell. Its volume is 25.77 Å³ per atom. The magnetization comes out at 0.00 Bohr magnetons per cell.

The structure belongs to space group I-42d (No. 122); the cell edges are 8.259, 8.259 and 6.046 Å and the angles 90.00°, 90.00° and 90.00°. The asymmetric unit holds Ca at (0.000, 0.000, 0.000), Al at (0.204, 0.250, 0.625) and Sn at (0.000, 0.000, 0.500).

(10)
This record from Alexandria via LeMat-Bulk describes a relaxed AlAsHPt2 crystal. The functional is PBE-GGA.

The density of states at the Fermi level comes out at 2.16 states/eV/cell. Its total energy is -23.86 eV per cell. Its volume is 13.51 Å³ per atom. The magnetization comes out at 0.00 Bohr magnetons per cell.

The structure belongs to space group P4/mmm (No. 123); the cell edges are 4.132, 4.132 and 3.957 Å and the angles 90.00°, 90.00° and 90.00°. The asymmetric unit holds Al at (0.000, 0.000, 0.000), As at (0.500, 0.500, 0.000), H at (0.000, 0.000, 0.500) and Pt at (0.000, 0.500, 0.500).

(11)
This record from Alexandria via LeMat-Bulk describes a relaxed AcBi2Se crystal. The functional is PBE-GGA.

The value obtained for the formation energy from raw total energies is -0.8151 eV per atom. The density of states at the Fermi level comes out at 3.01 states/eV/cell. Its total energy is -18.62 eV per cell. Its volume is 32.43 Å³ per atom. The magnetization comes out at 0.00 Bohr magnetons per cell.

The structure belongs to space group P4/mmm (No. 123); the cell edges are 4.466, 4.466 and 6.503 Å and the angles 90.00°, 90.00° and 90.00°. The asymmetric unit holds Ac at (0.000, 0.000, 0.000), Bi at (0.000, 0.500, 0.500) and Se at (0.500, 0.500, 0.000).

(12)
This record from Alexandria via LeMat-Bulk describes a relaxed P3CBr crystal. The functional is PBE-GGA.

The value obtained for the formation energy from raw total energies is 2.8818 eV per atom. The density of states at the Fermi level comes out at 4.46 states/eV/cell. Its total energy is -12.72 eV per cell. Its volume is 22.42 Å³ per atom. The magnetization comes out at 0.11 Bohr magnetons per cell.

The structure belongs to space group Pm-3m (No. 221); the cell edges are 4.822, 4.822 and 4.822 Å and the angles 90.00°, 90.00° and 90.00°. The asymmetric unit holds P at (0.000, 0.000, 0.500), C at (0.500, 0.500, 0.500) and Br at (0.000, 0.000, 0.000).